Entry 1:
Entry from Alexandria via LeMat-Bulk: crystalline Ba12H5Rh3 at its relaxed geometry (PBE).

Output
- N(E_F) (states/eV per atom) = 0.7261

The structure in POSCAR format:
```
Ba12H5Rh3
1.0
15.155 0.000 0.000
-5.052 14.289 0.000
-5.052 -7.144 12.374
H Ba Rh
20 48 12
Direct
0.750 0.125 0.875
0.875 0.250 0.625
0.375 0.250 0.125
0.500 0.000 0.500
0.750 0.625 0.375
0.500 0.000 0.000
0.625 0.750 0.875
0.500 0.500 0.500
0.375 0.125 0.750
0.000 0.000 0.500
0.125 0.375 0.250
0.000 0.500 0.500
0.250 0.375 0.625
0.875 0.625 0.750
0.000 0.000 0.000
0.625 0.875 0.250
0.500 0.500 0.000
0.000 0.500 0.000
0.125 0.750 0.375
0.250 0.875 0.125
0.872 0.284 0.468
0.088 0.904 0.372
0.096 0.912 0.128
0.912 0.816 0.784
0.968 0.596 0.184
0.628 0.596 0.912
0.404 0.372 0.588
0.684 0.216 0.588
0.216 0.532 0.628
0.284 0.412 0.816
0.468 0.684 0.096
0.784 0.468 0.372
0.872 0.588 0.904
0.032 0.404 0.816
0.684 0.468 0.596
0.716 0.128 0.032
0.032 0.628 0.716
0.404 0.032 0.316
0.316 0.784 0.412
0.184 0.096 0.968
0.216 0.684 0.088
0.784 0.316 0.912
0.816 0.912 0.284
0.968 0.372 0.284
0.128 0.412 0.096
0.904 0.088 0.872
0.184 0.088 0.716
0.468 0.784 0.872
0.412 0.128 0.596
0.716 0.588 0.184
0.372 0.404 0.088
0.596 0.968 0.684
0.412 0.284 0.316
0.904 0.816 0.532
0.816 0.904 0.032
0.372 0.968 0.784
0.096 0.184 0.468
0.596 0.628 0.412
0.912 0.096 0.628
0.532 0.216 0.128
0.316 0.532 0.404
0.628 0.032 0.216
0.284 0.872 0.968
0.128 0.716 0.532
0.588 0.872 0.404
0.532 0.316 0.904
0.588 0.716 0.684
0.088 0.184 0.216
0.375 0.750 0.625
0.875 0.125 0.250
0.125 0.875 0.750
0.750 0.875 0.625
0.250 0.625 0.875
0.625 0.375 0.750
0.875 0.750 0.125
0.125 0.250 0.875
0.625 0.250 0.375
0.250 0.125 0.375
0.750 0.375 0.125
0.375 0.625 0.250
```


Entry 2:
Entry from Alexandria via LeMat-Bulk: crystalline Ba6H2Rh at its relaxed geometry (PBE).

Output
- N(E_F) (states/eV per atom) = 0.5953

The structure in POSCAR format:
```
Ba6H2Rh
1.0
-0.568 -7.169 -0.378
3.773 0.051 -6.624
11.317 -1.237 6.445
Ba Rh H
12 2 4
Direct
0.239 0.171 0.333
0.739 0.329 0.167
0.226 0.660 0.500
0.726 0.840 0.000
0.774 0.340 0.500
0.261 0.671 0.833
0.239 0.171 0.667
0.261 0.671 0.167
0.739 0.329 0.833
0.274 0.160 0.000
0.761 0.829 0.667
0.761 0.829 0.333
0.000 0.000 0.500
0.500 0.500 0.000
0.500 0.000 0.161
0.000 0.500 0.661
0.000 0.500 0.339
0.500 0.000 0.839
```


Entry 3:
Entry from Alexandria via LeMat-Bulk: crystalline BaHRh at its relaxed geometry (PBE).

Output
- N(E_F) (states/eV per atom) = 0.2508

The structure in POSCAR format:
```
BaHRh
1.0
4.653 0.000 0.000
0.000 3.719 0.000
0.000 -1.859 3.221
H Ba Rh
1 1 1
Direct
0.167 0.333 0.667
0.667 0.667 0.333
0.167 0.000 0.000
```


Entry 4:
Entry from Alexandria via LeMat-Bulk: crystalline Ba16H3Rh5 at its relaxed geometry (PBE).

Output
- N(E_F) (states/eV per atom) = 0.5964

The structure in POSCAR format:
```
Ba16H3Rh5
1.0
8.819 -0.012 -0.008
4.293 7.703 -0.008
-0.093 -0.054 14.630
Rh Ba H
5 16 3
Direct
0.673 0.673 0.521
0.346 0.346 0.034
0.165 0.165 0.287
0.334 0.831 0.787
0.831 0.334 0.787
0.827 0.827 0.406
0.979 0.511 0.660
0.511 0.979 0.660
0.494 0.494 0.161
0.665 0.169 0.905
0.023 0.491 0.158
0.668 0.668 0.896
0.995 0.995 0.182
0.165 0.165 0.908
0.333 0.830 0.405
0.169 0.665 0.905
0.507 0.507 0.657
0.491 0.023 0.158
0.830 0.333 0.405
0.996 0.996 0.676
0.334 0.334 0.392
0.186 0.647 0.277
0.828 0.828 0.778
0.647 0.186 0.277
```


Entry 5:
Entry from Alexandria via LeMat-Bulk: crystalline Ba3H12Rh5 at its relaxed geometry (PBE).

Output
- N(E_F) (states/eV per atom) = 0.4764

The structure in POSCAR format:
```
Ba3H12Rh5
1.0
-8.910 -0.443 -5.962
7.956 -5.106 -5.074
-1.799 -4.703 9.475
H Rh Ba
48 20 12
Direct
0.904 0.817 0.481
0.923 0.587 0.904
0.836 0.317 0.913
0.164 0.481 0.577
0.913 0.817 0.836
0.577 0.596 0.913
0.336 0.923 0.019
0.913 0.096 0.577
0.596 0.019 0.683
0.817 0.904 0.981
0.981 0.404 0.817
0.317 0.481 0.404
0.183 0.087 0.664
0.087 0.904 0.423
0.096 0.913 0.077
0.981 0.577 0.664
0.077 0.413 0.096
0.336 0.413 0.817
0.683 0.519 0.596
0.077 0.664 0.481
0.019 0.423 0.336
0.413 0.077 0.596
0.413 0.336 0.317
0.317 0.836 0.413
0.587 0.664 0.683
0.923 0.336 0.519
0.087 0.183 0.164
0.423 0.019 0.836
0.836 0.519 0.423
0.019 0.596 0.183
0.481 0.317 0.904
0.904 0.087 0.923
0.183 0.096 0.019
0.817 0.913 0.336
0.096 0.183 0.519
0.423 0.404 0.087
0.683 0.164 0.587
0.664 0.077 0.981
0.577 0.981 0.164
0.519 0.683 0.096
0.404 0.423 0.587
0.164 0.683 0.087
0.519 0.836 0.923
0.596 0.577 0.413
0.404 0.981 0.317
0.664 0.587 0.183
0.481 0.164 0.077
0.587 0.923 0.404
0.500 0.500 0.000
0.750 0.125 0.875
0.500 0.000 0.000
0.625 0.875 0.250
0.125 0.750 0.375
0.875 0.250 0.625
0.125 0.375 0.250
0.375 0.125 0.750
0.500 0.500 0.500
0.875 0.625 0.750
0.250 0.375 0.625
0.625 0.750 0.875
0.000 0.500 0.500
0.250 0.875 0.125
0.000 0.000 0.000
0.375 0.250 0.125
0.500 0.000 0.500
0.000 0.500 0.000
0.000 0.000 0.500
0.750 0.625 0.375
0.375 0.625 0.250
0.125 0.875 0.750
0.125 0.250 0.875
0.875 0.750 0.125
0.875 0.125 0.250
0.250 0.125 0.375
0.625 0.375 0.750
0.375 0.750 0.625
0.250 0.625 0.875
0.750 0.875 0.625
0.750 0.375 0.125
0.625 0.250 0.375
```


Entry 6:
Entry from Alexandria via LeMat-Bulk: crystalline Ba6H12Rh at its relaxed geometry (PBE).

Output
- N(E_F) (states/eV per atom) = 0.4032

The structure in POSCAR format:
```
Ba6H12Rh
1.0
-2.222 -5.753 3.746
-2.441 -2.030 -6.479
6.885 -1.978 -0.868
Ba H Rh
6 12 1
Direct
0.724 0.850 0.404
0.276 0.150 0.596
0.850 0.404 0.724
0.150 0.596 0.276
0.596 0.276 0.150
0.404 0.724 0.850
0.172 0.478 0.603
0.053 0.981 0.234
0.603 0.172 0.478
0.981 0.234 0.053
0.522 0.397 0.828
0.766 0.947 0.019
0.947 0.019 0.766
0.019 0.766 0.947
0.478 0.603 0.172
0.828 0.522 0.397
0.397 0.828 0.522
0.234 0.053 0.981
0.000 0.000 0.000
```


Entry 7:
Entry from Alexandria via LeMat-Bulk: crystalline Ba8HRh3 at its relaxed geometry (PBE).

Output
- N(E_F) (states/eV per atom) = 0.6981

The structure in POSCAR format:
```
Ba8HRh3
1.0
-7.843 -3.462 2.651
7.452 -4.967 0.373
-1.104 6.866 5.699
Rh Ba H
3 8 1
Direct
0.500 0.000 0.000
0.000 0.500 0.000
0.500 0.500 0.000
0.758 0.516 0.776
0.741 0.983 0.224
0.242 0.983 0.224
0.745 0.491 0.235
0.259 0.017 0.776
0.242 0.484 0.224
0.758 0.017 0.776
0.255 0.509 0.765
0.000 0.000 0.000
```


Entry 8:
Entry from Alexandria via LeMat-Bulk: crystalline Ba2H4Rh at its relaxed geometry (PBE).

Output
- N(E_F) (states/eV per atom) = 0.2061

The structure in POSCAR format:
```
Ba2H4Rh
1.0
-1.914 3.572 0.094
-1.668 -1.032 5.227
4.630 2.429 1.957
Ba H Rh
2 4 1
Direct
0.500 0.500 0.000
0.500 0.000 0.500
0.000 0.783 0.217
0.000 0.217 0.783
0.000 0.217 0.217
0.000 0.783 0.783
0.000 0.000 0.000
```


Entry 9:
Entry from Alexandria via LeMat-Bulk: crystalline Ba6HRh at its relaxed geometry (PBE).

Output
- N(E_F) (states/eV per atom) = 0.9902

The structure in POSCAR format:
```
Ba6HRh
1.0
-1.861 5.085 -5.400
-4.121 -0.433 6.427
8.734 9.847 6.263
Rh Ba H
2 12 2
Direct
0.000 0.000 0.000
0.000 0.000 0.500
0.013 0.336 0.124
0.664 0.677 0.124
0.677 0.013 0.876
0.664 0.987 0.376
0.013 0.677 0.376
0.336 0.013 0.624
0.336 0.323 0.876
0.987 0.664 0.876
0.323 0.987 0.124
0.987 0.323 0.624
0.323 0.336 0.376
0.677 0.664 0.624
0.667 0.333 0.750
0.333 0.667 0.250
```


Entry 10:
Entry from Alexandria via LeMat-Bulk: crystalline BaHRh at its relaxed geometry (PBE).

Output
- N(E_F) (states/eV per atom) = 0.1578

The structure in POSCAR format:
```
BaHRh
1.0
-2.019 -1.844 2.259
0.687 -4.706 -3.228
4.671 -1.408 3.046
H Ba Rh
2 2 2
Direct
0.606 0.935 0.643
0.607 0.435 0.143
0.606 0.935 0.143
0.606 0.435 0.643
0.106 0.935 0.643
0.107 0.435 0.143
```


Entry 11:
Entry from Alexandria via LeMat-Bulk: crystalline BaH4Rh at its relaxed geometry (PBE).

Output
- N(E_F) (states/eV per atom) = 0.2973

The structure in POSCAR format:
```
BaH4Rh
1.0
-1.517 -3.067 -1.286
3.023 -0.684 -1.937
1.910 -2.575 3.888
H Rh Ba
4 1 1
Direct
0.000 0.500 0.170
0.000 0.000 0.500
0.500 0.500 0.500
0.000 0.500 0.830
0.000 0.500 0.500
0.500 0.000 0.000
```


Entry 12:
Entry from Alexandria via LeMat-Bulk: crystalline Ba3H9Rh2 at its relaxed geometry (PBE).

Output
- N(E_F) (states/eV per atom) = 0.5677

The structure in POSCAR format:
```
Ba3H9Rh2
1.0
-2.207 5.037 -5.079
-3.737 -4.376 -4.787
-7.052 1.215 2.197
H Ba Rh
18 6 4
Direct
0.751 0.444 0.597
0.903 0.056 0.749
0.944 0.251 0.097
0.380 0.120 0.250
0.880 0.750 0.620
0.403 0.249 0.556
0.097 0.944 0.251
0.556 0.403 0.249
0.444 0.597 0.751
0.750 0.620 0.880
0.620 0.880 0.750
0.120 0.250 0.380
0.056 0.749 0.903
0.597 0.751 0.444
0.250 0.380 0.120
0.249 0.556 0.403
0.251 0.097 0.944
0.749 0.903 0.056
0.913 0.587 0.250
0.587 0.250 0.913
0.750 0.087 0.413
0.250 0.913 0.587
0.413 0.750 0.087
0.087 0.413 0.750
0.340 0.340 0.340
0.660 0.660 0.660
0.160 0.160 0.160
0.840 0.840 0.840
```


Sequential V output: 2679.63, 718.22, 55.73, 994.60, 950.89, 363.84, 511.68, 126.36, 738.14, 117.26, 67.33, 399.54 Å³ per cell
Sequential energy output: -3.306, -3.064, -4.159, -3.453, -4.318, -3.467, -3.609, -4.011, -2.954, -4.488, -4.199, -4.050 eV per atom
Sequential theoretical density output: 4.863, 4.295, 7.189, 4.532, 6.556, 4.285, 4.570, 5.015, 4.175, 6.832, 6.024, 5.211 g/cm³